No. 1
This record from Alexandria describes Hf4Mn3Tc after structural relaxation. The functional is GGA-PBE.

Lattice parameters (Å, degrees): 3.2071 3.2071 12.7561 90.00 90.00 90.00
Site moments in Bohr magnetons follow the coordinates.
Fractional coordinates of all 8 atoms:
Mn  0.5000  0.5000  0.2557  1.26
Mn  0.5000  0.5000  0.5000  1.13
Mn  0.5000  0.5000  0.7443  1.26
Hf  0.0000  0.0000  0.8725  -0.12
Hf  0.0000  0.0000  0.1275  -0.12
Hf  0.0000  0.0000  0.6235  -0.25
Hf  0.0000  0.0000  0.3765  -0.25
Tc  0.5000  0.5000  0.0000  0.14

Output
- E_form: -215.4 meV/atom
- Crystal system: tetragonal
- DOS(E_F): 1.218 states/eV per atom
- Calculated density: 12.36 g cm⁻³
- Space-group type: P4/mmm

No. 2
This record from Alexandria describes HfTi2MnTc after structural relaxation. The functional is GGA-PBE.

Lattice parameters (Å, degrees): 4.5715 4.9908 4.5715 90.00 90.00 90.00
Site moments in Bohr magnetons follow the coordinates.
Fractional coordinates of all 5 atoms:
Hf  0.0000  0.5000  0.0000  0.00
Ti  0.0000  0.0000  0.5000  0.00
Ti  0.5000  0.0000  0.0000  -0.04
Tc  0.0000  0.0000  0.0000  0.03
Mn  0.5000  0.5000  0.5000  0.10

Output
- E_form: 1032.0 meV/atom
- Crystal system: tetragonal
- DOS(E_F): 1.559 states/eV per atom
- Calculated density: 6.80 g cm⁻³
- Space-group type: P4/mmm

No. 3
This record from Alexandria describes HfMnTl2Tc after structural relaxation. The functional is GGA-PBE.

Lattice parameters (Å, degrees): 5.3145 4.8769 5.3145 90.00 90.00 90.00
Site moments in Bohr magnetons follow the coordinates.
Fractional coordinates of all 5 atoms:
Hf  0.0000  0.5000  0.0000  -0.15
Tl  0.0000  0.0000  0.5000  0.00
Tl  0.5000  0.0000  0.0000  0.00
Tc  0.0000  0.0000  0.0000  0.41
Mn  0.5000  0.5000  0.5000  4.32

Output
- E_form: 865.7 meV/atom
- Crystal system: tetragonal
- DOS(E_F): 0.549 states/eV per atom
- Calculated density: 8.92 g cm⁻³
- Space-group type: P4/mmm

No. 4
This record from Alexandria describes HfUMnTc after structural relaxation. The functional is GGA-PBE.

Lattice parameters (Å, degrees): 4.6407 4.6407 4.6407 60.00 60.00 60.00
Site moments in Bohr magnetons follow the coordinates.
Fractional coordinates of all 4 atoms:
Hf  0.7500  0.7500  0.7500  0.24
U  0.2500  0.2500  0.2500  1.75
Mn  0.5000  0.5000  0.5000  -1.29
Tc  0.0000  0.0000  0.0000  -0.19

Output
- E_form: -27.4 meV/atom
- Crystal system: cubic
- DOS(E_F): 1.992 states/eV per atom
- Calculated density: 13.38 g cm⁻³
- Space-group type: F-43m

No. 5
This record from Alexandria describes HfMnTcW after structural relaxation. The functional is GGA-PBE.

Lattice parameters (Å, degrees): 4.4301 4.4301 4.4301 60.00 60.00 60.00
Fractional coordinates of all 4 atoms:
Hf  0.2500  0.2500  0.2500
Mn  0.5000  0.5000  0.5000
W  0.7500  0.7500  0.7500
Tc  0.0000  0.0000  0.0000

Output
- E_form: -202.5 meV/atom
- Crystal system: cubic
- DOS(E_F): 0.427 states/eV per atom
- Calculated density: 13.92 g cm⁻³
- Space-group type: F-43m

No. 6
This record from Alexandria describes HfMnZnTc2 after structural relaxation. The functional is GGA-PBE.

Lattice parameters (Å, degrees): 4.7398 4.5183 4.7398 90.00 90.00 90.00
Site moments in Bohr magnetons follow the coordinates.
Fractional coordinates of all 5 atoms:
Zn  0.5000  0.5000  0.5000  0.00
Tc  0.0000  0.0000  0.5000  -0.01
Tc  0.5000  0.0000  0.0000  -0.07
Mn  0.0000  0.5000  0.0000  -0.53
Hf  0.0000  0.0000  0.0000  0.01

Output
- E_form: 1879.8 meV/atom
- Crystal system: tetragonal
- DOS(E_F): 2.551 states/eV per atom
- Calculated density: 8.10 g cm⁻³
- Space-group type: P4/mmm

No. 7
This record from Alexandria describes Hf2MnTe6 after structural relaxation. The functional is GGA-PBE.

Lattice parameters (Å, degrees): 6.9459 7.3660 9.3422 90.00 87.97 90.00
Site moments in Bohr magnetons follow the coordinates.
Fractional coordinates of all 18 atoms:
Hf  0.5319  0.8540  0.7498  0.08
Hf  0.4681  0.1460  0.2502  0.08
Hf  0.0319  0.6460  0.2498  0.08
Hf  0.9681  0.3540  0.7502  0.08
Mn  0.0000  0.0000  0.5000  3.35
Mn  0.5000  0.5000  0.0000  3.35
Te  0.8493  0.9901  0.2395  -0.04
Te  0.3409  0.8363  0.0691  -0.03
Te  0.3393  0.8325  0.4287  -0.04
Te  0.1507  0.0099  0.7605  -0.04
Te  0.8409  0.6637  0.5691  -0.03
Te  0.6607  0.1675  0.5713  -0.04
Te  0.6507  0.4901  0.2605  -0.04
Te  0.1591  0.3363  0.4309  -0.03
Te  0.8393  0.6675  0.9287  -0.04
Te  0.1607  0.3325  0.0713  -0.04
Te  0.3493  0.5099  0.7395  -0.04
Te  0.6591  0.1637  0.9309  -0.03

Output
- Crystal system: monoclinic
- DOS(E_F): 0.339 states/eV per atom
- Formation energy (no corrections): -0.476 eV per atom
- Calculated density: 8.19 g cm⁻³
- Space-group type: P2_1/c

No. 8
This record from Alexandria describes HfMnTe after structural relaxation. The functional is GGA-PBE.

Lattice parameters (Å, degrees): 3.0447 3.0447 14.2522 90.00 90.00 90.00
Fractional coordinates of all 6 atoms:
Te  0.5000  0.0000  0.7852
Te  0.0000  0.5000  0.2148
Hf  0.0000  0.5000  0.4274
Hf  0.5000  0.0000  0.5726
Mn  0.0000  0.5000  0.0323
Mn  0.5000  0.0000  0.9677

Output
- Crystal system: tetragonal
- DOS(E_F): 0.880 states/eV per atom
- Formation energy (no corrections): 0.403 eV per atom
- Calculated density: 9.08 g cm⁻³
- Space-group type: P4/nmm

No. 9
This record from Alexandria describes HfMnTe2 after structural relaxation. The functional is GGA-PBE.

Lattice parameters (Å, degrees): 9.4159 9.4159 9.4159 20.49 20.49 20.49
Fractional coordinates of all 4 atoms:
Mn  0.5000  0.5000  0.5000
Te  0.8955  0.8955  0.8955
Te  0.1045  0.1045  0.1045
Hf  0.0000  0.0000  0.0000

Output
- Crystal system: trigonal
- Polymorph energy (0 for the lowest one): 1.50 eV/f.u.
- DOS(E_F): 1.280 states/eV per atom
- Formation energy (no corrections): 0.251 eV per atom
- Calculated density: 9.07 g cm⁻³
- Space-group type: R-3m

No. 10
This record from Alexandria describes HfMn2Te after structural relaxation. The functional is GGA-PBE.

Lattice parameters (Å, degrees): 4.0678 4.0678 9.8130 78.04 78.04 90.00
Site moments in Bohr magnetons follow the coordinates.
Fractional coordinates of all 8 atoms:
Hf  0.0000  0.0000  0.0000  -0.40
Hf  0.7500  0.2500  0.5000  -0.40
Mn  0.8750  0.8732  0.7500  3.02
Mn  0.3750  0.3768  0.7500  3.05
Mn  0.1268  0.6250  0.2500  3.03
Mn  0.6232  0.1250  0.2500  3.07
Te  0.2500  0.7500  0.5000  -0.01
Te  0.5000  0.5000  0.0000  -0.01

Output
- Crystal system: tetragonal
- DOS(E_F): 0.818 states/eV per atom
- Formation energy (no corrections): 0.362 eV per atom
- Calculated density: 8.90 g cm⁻³
- Space-group type: I-42d

No. 11
This record from Alexandria describes HfMnTe4 after structural relaxation. The functional is GGA-PBE.

Lattice parameters (Å, degrees): 3.9896 6.7189 6.7188 91.78 90.00 90.00
Site moments in Bohr magnetons follow the coordinates.
Fractional coordinates of all 6 atoms:
Hf  0.0000  0.5000  0.5000  0.06
Te  0.5000  0.2915  0.7085  -0.04
Te  0.0000  0.8086  0.8086  -0.06
Te  0.0000  0.1914  0.1914  -0.06
Te  0.5000  0.7085  0.2915  -0.04
Mn  0.5000  0.0000  0.0000  3.43

Output
- Crystal system: orthorhombic
- Polymorph energy (0 for the lowest one): 0.78 eV/f.u.
- DOS(E_F): 0.530 states/eV per atom
- Formation energy (no corrections): -0.344 eV per atom
- Calculated density: 6.86 g cm⁻³
- Space-group type: Cmmm

No. 12
This record from Alexandria describes HfMnTe2 after structural relaxation. The functional is GGA-PBE.

Lattice parameters (Å, degrees): 6.0050 6.0050 7.5914 66.70 66.70 90.00
Fractional coordinates of all 8 atoms:
Hf  0.0000  0.0000  0.0000
Hf  0.7500  0.2500  0.5000
Te  0.3750  0.4190  0.7500
Te  0.5810  0.1250  0.2500
Te  0.8750  0.8310  0.7500
Te  0.1690  0.6250  0.2500
Mn  0.5000  0.5000  0.0000
Mn  0.2500  0.7500  0.5000

Output
- Crystal system: tetragonal
- Polymorph energy (0 for the lowest one): 1.85 eV/f.u.
- DOS(E_F): 1.619 states/eV per atom
- Formation energy (no corrections): 0.340 eV per atom
- Calculated density: 7.15 g cm⁻³
- Space-group type: I-42d